[1]
# BaCa2Se

A relaxed BaCa2Se crystal (PBE, Alexandria via LeMat-Bulk).

a = 4.681 Å, b = 6.189 Å, c = 10.425 Å
α = 90.00°, β = 90.00°, γ = 90.00°
Space group Cmmm (No. 65)
Asymmetric unit:
Ba1 0.000 0.000 0.000 x2
Ca1 0.000 0.500 0.326 x4
Se1 0.000 0.000 0.500 x2

Summary:
Energy: -3.16 eV per atom

[2]
# Ba2CaSe

A relaxed Ba2CaSe crystal (PBE, Alexandria via LeMat-Bulk).

a = 8.606 Å, b = 8.606 Å, c = 8.606 Å
α = 90.00°, β = 90.00°, γ = 90.00°
Space group F-43m (No. 216)
Asymmetric unit:
Ba1 0.000 0.000 0.000 x4
Ba2 0.250 0.250 0.250 x4
Ca1 0.000 0.000 0.500 x4
Se1 0.250 0.250 0.750 x4

Summary:
Energy: -2.56 eV per atom

[3]
# BaCa2Se

A relaxed BaCa2Se crystal (PBE, Alexandria via LeMat-Bulk).

a = 12.885 Å, b = 3.929 Å, c = 7.045 Å
α = 90.00°, β = 118.85°, γ = 90.00°
Space group Cm (No. 8)
Asymmetric unit:
Ba1 0.000 0.000 0.000 x2
Ca1 0.143 0.500 0.632 x2
Ca2 0.332 0.500 0.340 x2
Se1 0.270 0.000 0.989 x2

Summary:
Energy: -3.20 eV per atom

[4]
# Ba2CaSe

A relaxed Ba2CaSe crystal (PBE, Alexandria via LeMat-Bulk).

a = 7.464 Å, b = 9.832 Å, c = 4.290 Å
α = 90.00°, β = 90.00°, γ = 90.00°
Space group Cmmm (No. 65)
Asymmetric unit:
Ba1 0.250 0.250 0.000 x4
Ca1 0.000 0.000 0.500 x2
Se1 0.000 0.500 0.500 x2

Summary:
Energy: -2.89 eV per atom

[5]
# BaCa4Se5

A relaxed BaCa4Se5 crystal (PBE, Alexandria via LeMat-Bulk).

a = 14.342 Å, b = 4.317 Å, c = 10.632 Å
α = 90.00°, β = 119.44°, γ = 90.00°
Space group C2/m (No. 12)
Asymmetric unit:
Ba1 0.000 0.000 0.000 x2
Ca1 0.098 0.500 0.402 x4
Ca2 0.200 0.000 0.792 x4
Se1 0.000 0.000 0.500 x2
Se2 0.110 0.500 0.889 x4
Se3 0.206 0.000 0.315 x4

Summary:
Energy: -4.73 eV per atom

[6]
# Ba2CaSe

A relaxed Ba2CaSe crystal (PBE, Alexandria via LeMat-Bulk).

a = 7.768 Å, b = 4.477 Å, c = 11.376 Å
α = 90.00°, β = 102.97°, γ = 90.00°
Space group C2/m (No. 12)
Asymmetric unit:
Ba1 0.226 0.000 0.180 x4
Ca1 0.000 0.000 0.500 x2
Se1 0.000 0.500 0.000 x2

Summary:
Energy: -3.22 eV per atom

The lowest energy belongs to which entry? BaCa4Se5

What is the formula in the second record? Ba2CaSe

Among the records above, which one has the highest energy? number 2

Please write out number 5 again, unchanged.
# BaCa4Se5

A relaxed BaCa4Se5 crystal (PBE, Alexandria via LeMat-Bulk).

a = 14.342 Å, b = 4.317 Å, c = 10.632 Å
α = 90.00°, β = 119.44°, γ = 90.00°
Space group C2/m (No. 12)
Asymmetric unit:
Ba1 0.000 0.000 0.000 x2
Ca1 0.098 0.500 0.402 x4
Ca2 0.200 0.000 0.792 x4
Se1 0.000 0.000 0.500 x2
Se2 0.110 0.500 0.889 x4
Se3 0.206 0.000 0.315 x4

Summary:
Energy: -4.73 eV per atom